Below is crystalline BaCoPdO3 at its relaxed geometry, with properties calculated at the PBE+U level.

Cell lengths 6.181, 6.181, 6.181 Å; angles 146.90, 138.86, 53.78 degrees
Fractional coordinates of all 6 atoms:
O1 0.787 0.787 0.000
O2 0.514 0.014 0.500
O3 0.197 0.197 0.000
Co1 0.689 0.189 0.500
Ba1 0.001 0.501 0.500
Pd1 0.312 0.812 0.500

Calculated values
Calculated total energy: -5.673 eV per atom
V: 14.049 Å³/atom